5
Lattice="4.7058 0.0000 0.0000 0.0000 4.7058 0.0000 0.0000 0.0000 4.2260" Properties=species:S:1:pos:R:3 comment="PBE InIO2F, optimized geometry" e_form_raw_ev_per_atom=0.457 spacegroup="P4/mmm (123)" vol_a3_per_atom=18.72 e_tot_ev_per_fu=-13.8 crystal_system=tetragonal pbc="T T T"
In 2.3529 2.3529 2.1130
O 0.0000 2.3529 0.0000
O 2.3529 0.0000 0.0000
F 0.0000 0.0000 0.0000
I 0.0000 0.0000 2.1130



8
Lattice="3.6359 0.0000 0.0000 0.0000 3.6359 0.0000 0.0000 0.0000 9.5798" Properties=species:S:1:pos:R:3 comment="PBE KBe4P3, optimized geometry" spacegroup="P4/mmm (123)" vol_a3_per_atom=15.83 formation_enthalpy_0k_ev_per_fu=-3.1 e_tot_ev_per_fu=-35.3 crystal_system=tetragonal pbc="T T T"
Be 0.0000 1.8180 8.1757
Be 0.0000 1.8180 1.4041
Be 1.8180 0.0000 8.1757
Be 1.8180 0.0000 1.4041
K 0.0000 0.0000 4.7899
P 1.8180 1.8180 7.0084
P 1.8180 1.8180 2.5714
P 0.0000 0.0000 0.0000



4
Lattice="0.0000 3.2271 3.2271 3.2271 0.0000 3.2271 3.2271 3.2271 0.0000" Properties=species:S:1:pos:R:3 comment="PBE HfTcPd2, optimized geometry" spacegroup="Fm-3m (225)" polymorph_energy_mev_per_atom=0 vol_a3_per_atom=16.80 formation_enthalpy_0k_ev_per_fu=-0.5 e_tot_ev_per_fu=-31.2 crystal_system=cubic pbc="T T T"
Pd 4.8406 4.8406 4.8406
Pd 1.6135 1.6135 1.6135
Tc 0.0000 0.0000 0.0000
Hf 3.2271 3.2271 3.2271



42
Lattice="-0.0789 -5.3828 -4.9683 2.8163 -4.6090 4.9488 -17.4389 -4.7883 5.4647" Properties=species:S:1:pos:R:3 comment="PBE Sr11Ge4N6, optimized geometry" e_form_raw_ev_per_atom=-0.610 spacegroup="P4/nbm (125)" vol_a3_per_atom=24.14 e_tot_ev_per_fu=-99.7 crystal_system=tetragonal pbc="T T T"
Sr 1.3687 -4.9959 -0.0098
Sr -0.0789 -5.7387 3.1765
Sr -12.6703 -3.4790 3.9704
Sr -1.4821 -3.0935 1.0165
Sr -4.7686 -1.3093 1.4943
Sr -4.7173 -9.3545 2.9485
Sr -5.1158 -5.9465 4.6631
Sr -0.2966 -8.1384 0.3791
Sr -13.0362 -11.6377 5.0562
Sr -1.6998 -5.4932 -1.7809
Sr -10.0113 -7.2801 0.7850
Sr -9.5340 -5.3053 4.0387
Sr 0.0000 0.0000 0.0000
Sr -3.3999 -6.3053 1.4845
Sr -14.5881 -6.6907 4.4384
Sr -11.3016 -8.4749 3.9606
Sr -8.1381 -8.4468 5.7406
Sr -13.1750 -8.6546 7.2272
Sr -6.5362 -4.4789 1.4162
Sr -14.4493 -9.6738 2.2674
Sr -8.6155 -10.4216 2.4869
Sr -6.1378 -7.8870 -0.2985
Ge -3.1053 -3.5438 3.8887
Ge -7.3508 -7.3901 2.7226
Ge -8.7195 -2.3941 2.7323
Ge -12.9649 -6.2404 1.5661
Ge -4.5529 -3.9307 -1.0698
Ge -0.0394 -2.6914 -2.4842
Ge -11.5173 -5.8535 6.5247
Ge 1.4081 -2.3045 2.4744
N -3.7826 -9.0940 0.6723
N -3.1490 -7.3748 4.2004
N -9.5502 -10.6821 4.7630
N -11.5297 -5.8494 2.6808
N -1.1367 -5.6838 0.7753
N -14.9335 -4.1004 4.6796
N -2.5054 -0.6879 0.7851
N -4.5405 -3.9348 2.7741
N -13.5648 -9.0963 4.6698
N -5.1741 -5.6540 -0.7540
N -10.9750 -9.5131 1.2406
N -10.1049 -7.0184 6.2033



7
Lattice="4.3215 0.0000 0.0000 -2.1608 4.6680 -0.9783 0.0000 -0.9344 6.2992" Properties=species:S:1:pos:R:3 comment="PBE Er2Cu3Pd2, optimized geometry" spacegroup="C2/m (12)" vol_a3_per_atom=17.59 formation_enthalpy_0k_ev_per_fu=-3.7 e_tot_ev_per_fu=-35.5 crystal_system=monoclinic pbc="T T T"
Cu 0.0000 3.1400 2.8373
Cu 2.1608 0.5936 2.4836
Cu 2.1608 0.0000 0.0000
Er 0.0000 0.6601 4.4721
Er 2.1608 3.0735 0.8488
Pd 2.1608 2.5955 4.2882
Pd 0.0000 1.1381 1.0326



4
Lattice="-0.7127 -0.5429 2.9328 2.9375 0.3943 0.7869 -1.0379 6.0139 0.8611" Properties=species:S:1:pos:R:3 comment="PBE CrOs2W, optimized geometry" spacegroup="P4mm (99)" polymorph_energy_mev_per_atom=183 vol_a3_per_atom=14.49 formation_enthalpy_0k_ev_per_fu=1.1 e_tot_ev_per_fu=-43.9 crystal_system=tetragonal pbc="T T T"
W -0.5271 3.0545 0.4374
Cr 0.3069 4.5931 2.5281
Os 0.8424 1.4905 2.0839
Os -0.9920 5.7481 0.8230



5
Lattice="4.8930 0.0000 0.0000 0.0000 4.7986 0.0000 0.0000 0.0000 4.8930" Properties=species:S:1:pos:R:3 comment="PBE CrTcBiRu2, optimized geometry" spacegroup="P4/mmm (123)" vol_a3_per_atom=22.98 formation_enthalpy_0k_ev_per_fu=12.7 e_tot_ev_per_fu=-29.8 crystal_system=tetragonal pbc="T T T"
Tc 2.4465 2.3993 2.4465
Ru 2.4465 0.0000 0.0000
Ru 0.0000 0.0000 2.4465
Cr 0.0000 2.3993 0.0000
Bi 0.0000 0.0000 0.0000



5
Lattice="-0.5484 -4.1297 -3.1486 4.1796 1.5281 -2.7321 3.0820 -2.8070 3.1449" Properties=species:S:1:pos:R:3 comment="PBE NaSrAl3, optimized geometry" spacegroup="Pm-3m (221)" polymorph_energy_mev_per_atom=0 vol_a3_per_atom=28.48 formation_enthalpy_0k_ev_per_fu=2.9 e_tot_ev_per_fu=-11.3 crystal_system=cubic pbc="T T T"
Al 2.0898 0.7640 -1.3661
Al 1.5410 -1.4035 1.5724
Al -0.2742 -2.0648 -1.5743
Sr 3.3566 -2.7043 -1.3679
Na 0.0000 0.0000 0.0000



5
Lattice="3.5214 0.0000 0.0000 0.0000 3.5214 0.0000 0.0000 0.0000 3.5214" Properties=species:S:1:pos:R:3 comment="PBE BeBrO3, optimized geometry" e_form_raw_ev_per_atom=-0.014 spacegroup="Pm-3m (221)" vol_a3_per_atom=8.73 e_tot_ev_per_fu=-20.3 crystal_system=cubic pbc="T T T"
O 1.7607 0.0000 0.0000
O 0.0000 0.0000 1.7607
O 0.0000 1.7607 0.0000
Be 0.0000 0.0000 0.0000
Br 1.7607 1.7607 1.7607



18
Lattice="4.5311 0.0000 0.0000 -2.2656 9.8009 0.0000 0.0000 0.0000 13.4934" Properties=species:S:1:pos:R:3 comment="PBE Ac2PuTe5Au, optimized geometry" e_form_raw_ev_per_atom=-1.181 spacegroup="Cmc2_1 (36)" vol_a3_per_atom=33.29 e_tot_ev_per_fu=-52.2 crystal_system=orthorhombic pbc="T T T"
Te 2.2656 2.8431 6.7820
Te 2.2656 8.9842 7.6353
Te 0.0000 5.7310 9.0244
Te 2.2656 3.8348 11.4078
Te 0.0000 6.9578 0.0353
Te 0.0000 5.9661 4.6611
Te 0.0000 0.8167 0.8886
Te 2.2656 0.0043 10.4593
Te 0.0000 9.7966 3.7126
Te 2.2656 4.0699 2.2777
Ac 2.2656 7.5528 2.5476
Ac 0.0000 2.2481 9.2943
Ac 2.2656 7.3869 10.9504
Ac 0.0000 2.4140 4.2037
Pu 0.0000 3.7637 0.1296
Pu 2.2656 6.0372 6.8763
Au 0.0000 8.4182 6.1553
Au 2.2656 1.3827 12.9020



4
Lattice="-1.4257 0.0720 2.5586 -2.3835 -1.1050 -1.2970 2.2995 -6.6849 1.4696" Properties=species:S:1:pos:R:3 comment="PBE TaAsRh2, optimized geometry" spacegroup="P4/mmm (123)" vol_a3_per_atom=15.50 formation_enthalpy_0k_ev_per_fu=-1.3 e_tot_ev_per_fu=-32.5 crystal_system=tetragonal pbc="T T T"
As -0.1800 -5.5302 1.7329
Ta -1.3297 -2.1877 0.9982
Rh 2.2658 -6.5871 1.4481
Rh 1.1834 -3.4403 0.7563



21
Lattice="3.5869 0.0000 0.0000 0.0000 13.1813 -7.6102 0.0000 0.0000 15.2205" Properties=species:S:1:pos:R:3 comment="PBE Nd12Sm2Y7, optimized geometry" spacegroup="P-6 (174)" vol_a3_per_atom=34.27 formation_enthalpy_0k_ev_per_fu=0.9 e_tot_ev_per_fu=-111.0 crystal_system=hexagonal pbc="T T T"
Y 0.0000 4.3938 7.6102
Y 1.7934 6.3306 -2.1146
Y 1.7934 11.8473 -1.0704
Y 1.7934 8.1847 3.1850
Y 0.0000 2.4720 2.1410
Y 0.0000 10.0912 8.6805
Y 0.0000 0.6181 12.0092
Nd 0.0000 5.2898 4.2969
Nd 1.7934 2.1080 5.3389
Nd 0.0000 3.3168 -1.2119
Nd 1.7934 9.4644 -3.4742
Nd 1.7934 3.5697 10.7254
Nd 0.0000 10.4734 5.3438
Nd 0.0000 12.5724 -4.1319
Nd 0.0000 1.0763 8.4909
Nd 1.7934 5.4404 1.1509
Nd 1.7934 11.4578 2.3233
Nd 0.0000 6.8152 10.0429
Nd 1.7934 7.5037 6.7663
Sm 0.0000 8.7875 0.0000
Sm 1.7934 0.0000 0.0000



5
Lattice="4.3892 0.0000 0.0000 0.0000 4.3892 0.0000 2.1946 2.1946 4.5923" Properties=species:S:1:pos:R:3 comment="PBE LaZn2Ni2, optimized geometry" spacegroup="I4/mmm (139)" polymorph_energy_mev_per_atom=54 vol_a3_per_atom=17.69 formation_enthalpy_0k_ev_per_fu=-1.5 e_tot_ev_per_fu=-20.5 crystal_system=tetragonal pbc="T T T"
Zn 4.3892 4.3892 3.3279
Zn 2.1946 2.1946 1.2643
Ni 4.3892 2.1946 2.2961
Ni 2.1946 4.3892 2.2961
La 0.0000 0.0000 0.0000



12
Lattice="5.7320 0.2699 -2.1118 0.1152 8.1791 -4.4922 -2.7099 -2.0648 10.0236" Properties=species:S:1:pos:R:3 comment="PBE Sm3Ho2Sc, optimized geometry" spacegroup="P-1 (2)" polymorph_energy_mev_per_atom=0 vol_a3_per_atom=31.12 formation_enthalpy_0k_ev_per_fu=0.2 e_tot_ev_per_fu=-29.4 crystal_system=triclinic pbc="T T T"
Ho 0.1776 -0.7949 7.6556
Ho 2.9597 7.1791 -4.2360
Ho 2.9560 0.0054 3.6180
Ho 0.1813 6.3788 -0.1984
Sm 0.1587 1.6089 5.0216
Sm 0.1603 3.9929 2.4226
Sm 2.9771 2.3913 0.9969
Sm 3.0878 3.5466 4.3490
Sm 0.0496 2.8376 -0.9294
Sm 2.9786 4.7753 -1.6020
Sc 0.0487 0.5186 1.6564
Sc 3.0886 5.8656 1.7632



6
Lattice="-1.8320 -2.5132 3.1105 -2.0923 -2.3288 -3.1139 4.3008 -1.4865 -1.7780" Properties=species:S:1:pos:R:3 comment="PBE V4GaPd, optimized geometry" spacegroup="Cmmm (65)" vol_a3_per_atom=14.12 formation_enthalpy_0k_ev_per_fu=-0.6 e_tot_ev_per_fu=-45.3 crystal_system=orthorhombic pbc="T T T"
V 0.1965 -2.1714 -1.6387
V -1.8310 -4.5394 -1.6361
V 2.2076 -1.7891 -0.1453
V 0.1801 -4.1571 -0.1427
Pd 0.0000 0.0000 0.0000
Ga -1.9621 -2.4210 -0.0017



10
Lattice="5.0148 0.0000 0.0000 0.0000 7.5955 0.5233 0.0000 -1.7669 7.4265" Properties=species:S:1:pos:R:3 comment="PBE RbErAuS2, optimized geometry" e_form_raw_ev_per_atom=-1.151 spacegroup="P2/c (13)" vol_a3_per_atom=28.75 e_tot_ev_per_fu=-22.8 crystal_system=monoclinic pbc="T T T"
S 1.7970 1.6973 0.3905
S 1.7970 5.0148 3.8461
S 3.2178 4.1313 7.5593
S 3.2178 0.8138 4.1037
Er 2.5379 -1.3251 5.5699
Er 2.4769 -0.4417 1.8566
Au 0.0000 0.0000 0.0000
Au 0.0000 -0.8834 3.7132
Rb 0.6987 2.4726 5.8315
Rb 4.3162 3.3560 2.1183



18
Lattice="4.8130 0.0000 0.0000 0.0000 4.8130 0.0000 0.0000 0.0000 9.8913" Properties=species:S:1:pos:R:3 comment="PBE CdSnRuO6, optimized geometry" e_form_raw_ev_per_atom=-1.016 spacegroup="P4_2nm (102)" vol_a3_per_atom=12.73 e_tot_ev_per_fu=-53.1 crystal_system=tetragonal pbc="T T T"
O 1.4348 1.4348 3.1145
O 0.9717 3.8413 8.0602
O 3.7173 1.0957 1.7640
O 3.8413 0.9717 8.0602
O 0.8675 3.9455 5.0529
O 3.5022 3.5022 6.7096
O 1.3108 1.3108 6.7096
O 3.9455 0.8675 5.0529
O 1.5390 1.5390 0.1073
O 1.0957 3.7173 1.7640
O 3.3782 3.3782 3.1145
O 3.2740 3.2740 0.1073
Cd 2.4065 2.4065 4.9142
Cd 0.0000 0.0000 9.8599
Ru 2.4065 2.4065 1.5961
Ru 0.0000 0.0000 6.5418
Sn 2.4065 2.4065 8.2464
Sn 0.0000 0.0000 3.3007



4
Lattice="3.3533 0.0000 0.0000 0.0000 3.3530 -0.0691 0.0000 0.1567 7.2700" Properties=species:S:1:pos:R:3 comment="PBE Tl2RhAu, optimized geometry" spacegroup="P4/mmm (123)" vol_a3_per_atom=20.44 formation_enthalpy_0k_ev_per_fu=0.6 e_tot_ev_per_fu=-14.7 crystal_system=tetragonal pbc="T T T"
Rh 1.6767 1.7549 3.6005
Tl 0.0000 3.4654 5.2546
Tl 0.0000 0.0443 1.9464
Au 1.6767 1.6765 -0.0345